[1]
Density functional theory data (PBE) for Ba3InPd2O6 after structural relaxation.

Output
total moment: 0.000 μB/atom
ΔE_f (raw): -1424 meV/atom
total energy: -5.48 eV per atom

Cell lengths 6.0903, 6.0903, 6.8489 Å; angles 90.00, 90.00, 120.00 degrees
With the nearest neighbours (Å) after each atom.
Atoms (fractional coordinates):
Ba: 0.3333 0.6667 0.6367  9 O 2.85-3.07
Ba: 0.6667 0.3333 0.3633  9 O 2.85-3.07
Ba: 0.0000 0.0000 0.0000  6 O 2.75
In: 0.0000 0.0000 0.5000  6 O 2.17
Pd: 0.6667 0.3333 0.8512  3 O 2.09
Pd: 0.3333 0.6667 0.1488  3 O 2.09
O: 0.6690 0.8345 0.3106  1 Pd 2.09, 1 In 2.17
O: 0.1655 0.3310 0.3106  1 Pd 2.09, 1 In 2.17
O: 0.1655 0.8345 0.3106  1 Pd 2.09, 1 In 2.17
O: 0.8345 0.6690 0.6894  1 Pd 2.09, 1 In 2.17
O: 0.3310 0.1655 0.6894  1 Pd 2.09, 1 In 2.17
O: 0.8345 0.1655 0.6894  1 Pd 2.09, 1 In 2.17

***

[2]
Density functional theory data (PBE) for Er3ScPd2 after structural relaxation.

Output
total moment: 0.000 μB/atom
energy relative to the lowest polymorph listed for this composition: 0.055 eV/atom
calculated formation energy: -0.503 eV per atom
total energy: -5.57 eV per atom

Cell lengths 6.6907, 7.1467, 8.2152 Å; angles 115.78, 114.03, 90.00 degrees
With the nearest neighbours (Å) after each atom.
Atoms (fractional coordinates):
Er: 0.5000 0.2500 0.0000  4 Pd 2.91
Er: 0.5000 0.7500 0.0000  4 Pd 2.91
Er: 0.7757 0.0257 0.5513  4 Pd 2.88-2.89
Er: 0.2243 0.4743 0.4487  4 Pd 2.88-2.89
Er: 0.2243 0.9743 0.4487  4 Pd 2.88-2.89
Er: 0.7757 0.5257 0.5513  4 Pd 2.88-2.89
Sc: 0.0000 0.5000 0.0000  2 Pd 2.70
Sc: 0.0000 0.0000 0.0000  2 Pd 2.70
Pd: 0.5661 0.3605 0.7211  1 Sc 2.70, 6 Er 2.88-2.91
Pd: 0.8450 0.1395 0.2789  1 Sc 2.70, 6 Er 2.88-2.91
Pd: 0.1550 0.8605 0.7211  1 Sc 2.70, 6 Er 2.88-2.91
Pd: 0.4339 0.6395 0.2789  1 Sc 2.70, 6 Er 2.88-2.91

***

[3]
Density functional theory data (PBE) for Ca3Sn3Au8 after structural relaxation.

Output
total moment: 0.000 μB/atom
energy relative to the lowest polymorph listed for this composition: 0.044 eV/atom
calculated formation energy: -0.483 eV per atom
total energy: -3.64 eV per atom

Cell lengths 4.4842, 9.0127, 9.0127 Å; angles 69.40, 75.60, 75.60 degrees
With the nearest neighbours (Å) after each atom.
Atoms (fractional coordinates):
Ca: 0.5000 0.5000 0.5000  12 Au 3.48-3.68, 4 Sn 3.69
Ca: 0.7879 0.2121 0.2121  8 Au 3.17-3.19
Ca: 0.2121 0.7879 0.7879  8 Au 3.17-3.19
Sn: 0.5000 0.0000 0.0000  4 Au 2.88, 4 Sn 3.14
Sn: 0.0000 0.7860 0.2140  6 Au 2.77-3.02
Sn: 0.0000 0.2140 0.7860  6 Au 2.77-3.02
Au: 0.6430 0.0572 0.6569  3 Au 2.84-2.85, 3 Sn 2.88-3.02
Au: 0.3570 0.9428 0.3431  3 Au 2.84-2.85, 3 Sn 2.88-3.02
Au: 0.6430 0.6569 0.0572  3 Au 2.84-2.85, 3 Sn 2.88-3.02
Au: 0.3570 0.3431 0.9428  3 Au 2.84-2.85, 3 Sn 2.88-3.02
Au: 0.8384 0.7940 0.5291  4 Au 2.72-2.85, 1 Sn 2.77
Au: 0.1616 0.2060 0.4709  4 Au 2.72-2.85, 1 Sn 2.77
Au: 0.8384 0.5291 0.7940  4 Au 2.72-2.85, 1 Sn 2.77
Au: 0.1616 0.4709 0.2060  4 Au 2.72-2.85, 1 Sn 2.77

***

[4]
Density functional theory data (PBE) for SrZn12Pt4 after structural relaxation.

Output
total moment: 0.000 μB/atom
calculated formation energy: -0.139 eV per atom
total energy: -2.56 eV per atom

Cell lengths 7.6317, 7.6317, 7.6317 Å; angles 109.47, 109.47, 109.47 degrees
With the nearest neighbours (Å) after each atom.
Atoms (fractional coordinates):
Sr: 0.0000 0.0000 0.0000  12 Zn 3.42, 8 Pt 3.82
Zn: 0.8399 0.3540 0.1940  2 Pt 2.51, 1 Zn 2.57
Zn: 0.3540 0.5141 0.1601  2 Pt 2.51, 1 Zn 2.57
Zn: 0.8060 0.1601 0.6460  2 Pt 2.51, 1 Zn 2.57
Zn: 0.3540 0.1940 0.8399  2 Pt 2.51, 1 Zn 2.57
Zn: 0.1940 0.8399 0.3540  2 Pt 2.51, 1 Zn 2.57
Zn: 0.6460 0.4859 0.8399  2 Pt 2.51, 1 Zn 2.57
Zn: 0.5141 0.1601 0.3540  2 Pt 2.51, 1 Zn 2.57
Zn: 0.4859 0.8399 0.6460  2 Pt 2.51, 1 Zn 2.57
Zn: 0.6460 0.8060 0.1601  2 Pt 2.51, 1 Zn 2.57
Zn: 0.8399 0.6460 0.4859  2 Pt 2.51, 1 Zn 2.57
Zn: 0.1601 0.3540 0.5141  2 Pt 2.51, 1 Zn 2.57
Zn: 0.1601 0.6460 0.8060  2 Pt 2.51, 1 Zn 2.57
Pt: 0.0000 0.5000 0.0000  6 Zn 2.51
Pt: 0.5000 0.0000 0.0000  6 Zn 2.51
Pt: 0.5000 0.5000 0.5000  6 Zn 2.51
Pt: 0.0000 0.0000 0.5000  6 Zn 2.51

***

[5]
Density functional theory data (PBE) for YAgBr after structural relaxation.

Output
total moment: 0.000 μB/atom
ΔE_f (raw): -726 meV/atom
energy relative to the lowest polymorph listed for this composition: 0.123 eV/atom
total energy: -4.39 eV per atom

Cell lengths 5.3681, 5.3681, 18.1101 Å; angles 90.00, 90.00, 120.00 degrees
With the nearest neighbours (Å) after each atom.
Atoms (fractional coordinates):
Y: 0.0000 0.0000 0.5000  2 Br 2.80, 6 Ag 3.10
Y: 0.3333 0.6667 0.1667  2 Br 2.80, 6 Ag 3.10
Y: 0.6667 0.3333 0.8333  2 Br 2.80, 6 Ag 3.10
Y: 0.0000 0.0000 0.0000  2 Ag 2.97, 6 Br 3.11
Y: 0.3333 0.6667 0.6667  2 Ag 2.97, 6 Br 3.11
Y: 0.6667 0.3333 0.3333  2 Ag 2.97, 6 Br 3.11
Br: 0.0000 0.0000 0.6549  4 Y 2.80-3.11, 3 Br 3.13
Br: 0.0000 0.0000 0.3451  4 Y 2.80-3.11, 3 Br 3.13
Br: 0.3333 0.6667 0.3215  4 Y 2.80-3.11, 3 Br 3.13
Br: 0.3333 0.6667 0.0118  4 Y 2.80-3.11, 3 Br 3.13
Br: 0.6667 0.3333 0.9882  4 Y 2.80-3.11, 3 Br 3.13
Br: 0.6667 0.3333 0.6785  4 Y 2.80-3.11, 3 Br 3.13
Ag: 0.0000 0.0000 0.1642  4 Y 2.97-3.10, 3 Ag 3.10, 1 Br 3.28
Ag: 0.0000 0.0000 0.8358  4 Y 2.97-3.10, 3 Ag 3.10, 1 Br 3.28
Ag: 0.3333 0.6667 0.8309  4 Y 2.97-3.10, 3 Ag 3.10, 1 Br 3.28
Ag: 0.3333 0.6667 0.5024  4 Y 2.97-3.10, 3 Ag 3.10, 1 Br 3.28
Ag: 0.6667 0.3333 0.4976  4 Y 2.97-3.10, 3 Ag 3.10, 1 Br 3.28
Ag: 0.6667 0.3333 0.1691  4 Y 2.97-3.10, 3 Ag 3.10, 1 Br 3.28

***

[6]
Density functional theory data (PBE) for SrSc2Ag after structural relaxation.

Output
total moment: 0.001 μB/atom
energy relative to the lowest polymorph listed for this composition: 0.288 eV/atom
calculated formation energy: 0.285 eV per atom
total energy: -4.01 eV per atom

Cell lengths 5.2441, 5.2441, 5.2441 Å; angles 60.00, 60.00, 60.00 degrees
With the nearest neighbours (Å) after each atom.
Atoms (fractional coordinates):
Sc: 0.2500 0.2500 0.2500  4 Ag 3.21, 4 Sr 3.21
Sc: 0.7500 0.7500 0.7500  4 Sr 3.21, 4 Ag 3.21
Sr: 0.0000 0.0000 0.0000  8 Sc 3.21
Ag: 0.5000 0.5000 0.5000  8 Sc 3.21

***

[7]
Density functional theory data (PBE) for Na2MgTl2 after structural relaxation.

Output
total moment: 0.000 μB/atom
energy relative to the lowest polymorph listed for this composition: 0.032 eV/atom
calculated formation energy: -0.054 eV per atom
total energy: -1.85 eV per atom

Cell lengths 5.3623, 6.4312, 9.7133 Å; angles 96.73, 73.98, 65.36 degrees
With the nearest neighbours (Å) after each atom.
Atoms (fractional coordinates):
Na: 0.6946 0.2602 0.3505  5 Tl 3.29-3.41, 2 Na 3.39-3.60, 4 Mg 3.46-3.62
Na: 0.8882 0.2742 0.9494  4 Tl 3.27-3.47, 2 Mg 3.48, 2 Na 3.57-3.60
Na: 0.3054 0.7398 0.6495  5 Tl 3.29-3.41, 2 Na 3.39-3.60, 4 Mg 3.46-3.62
Na: 0.1118 0.7258 0.0506  4 Tl 3.27-3.47, 2 Mg 3.48, 2 Na 3.57-3.60
Mg: 0.5635 0.1707 0.7024  4 Tl 3.04-3.20
Mg: 0.4365 0.8293 0.2976  4 Tl 3.04-3.20
Tl: 0.0690 0.2833 0.5788  3 Mg 3.06-3.20, 2 Tl 3.25-3.33, 3 Na 3.40-3.41
Tl: 0.6834 0.7756 0.8576  1 Mg 3.04, 2 Tl 3.20-3.33, 5 Na 3.27-3.29
Tl: 0.9310 0.7167 0.4212  3 Mg 3.06-3.20, 2 Tl 3.25-3.33, 3 Na 3.40-3.41
Tl: 0.3166 0.2244 0.1424  1 Mg 3.04, 2 Tl 3.20-3.33, 5 Na 3.27-3.29

***

[8]
Density functional theory data (PBE) for Pm7Ge2N2 after structural relaxation.

Output
total moment: 0.000 μB/atom
ΔE_f (raw): -608 meV/atom
total energy: -5.98 eV per atom

Cell lengths 6.7657, 6.4260, 6.7657 Å; angles 94.74, 112.87, 85.26 degrees
With the nearest neighbours (Å) after each atom.
Atoms (fractional coordinates):
Pm: 0.0648 0.2349 0.5032  2 N 2.49
Pm: 0.5032 0.7651 0.0648  2 N 2.49
Pm: 0.9352 0.7651 0.4968  2 N 2.49
Pm: 0.4968 0.2349 0.9352  2 N 2.49
Pm: 0.0000 0.0000 0.0000  2 N 2.55
Pm: 0.4350 0.7715 0.5650  1 N 2.54
Pm: 0.5650 0.2285 0.4350  1 N 2.54
Ge: 0.8306 0.5000 0.8306  1 Ge 2.53
Ge: 0.1694 0.5000 0.1694  1 Ge 2.53
N: 0.7723 0.0352 0.2277  6 Pm 2.49-2.55
N: 0.2277 0.9648 0.7723  6 Pm 2.49-2.55

***

[9]
Density functional theory data (PBE) for Ce5Ru2Rh2 after structural relaxation.

Output
total moment: 0.122 μB/atom
calculated formation energy: -0.456 eV per atom
total energy: -7.45 eV per atom

Cell lengths 6.6552, 7.1507, 9.9596 Å; angles 111.04, 109.52, 90.00 degrees
With the nearest neighbours (Å) after each atom.
Atoms (fractional coordinates):
Ce: 0.2523 0.6526 0.8588  2 Ru 2.63-2.93, 1 Rh 2.93
Ce: 0.7477 0.7938 0.1412  2 Ru 2.63-2.93, 1 Rh 2.93
Ce: 0.1065 0.1526 0.8588  2 Ru 2.63-2.93, 1 Rh 2.93
Ce: 0.8935 0.2938 0.1412  2 Ru 2.63-2.93, 1 Rh 2.93
Ce: 0.3257 0.0045 0.3131  2 Rh 2.61-2.65
Ce: 0.6743 0.6915 0.6869  2 Rh 2.61-2.65
Ce: 0.4874 0.5045 0.3131  2 Rh 2.61-2.65
Ce: 0.5126 0.1915 0.6869  2 Rh 2.61-2.65
Ce: 0.1148 0.7393 0.5000  2 Ru 2.47-2.67
Ce: 0.8852 0.2393 0.5000  2 Ru 2.47-2.67
Ru: 0.0000 0.9430 0.0000  4 Ce 2.63-2.93
Ru: 0.5000 0.4430 0.0000  4 Ce 2.63-2.93
Ru: 0.2391 0.4140 0.5000  2 Ce 2.47-2.67
Ru: 0.7609 0.9140 0.5000  2 Ce 2.47-2.67
Rh: 0.1623 0.6201 0.1429  2 Ce 2.61-2.65, 1 Rh 2.76
Rh: 0.8377 0.4772 0.8571  2 Ce 2.61-2.65, 1 Rh 2.76
Rh: 0.4806 0.1201 0.1429  2 Ce 2.61-2.65, 1 Rh 2.76
Rh: 0.5194 0.9772 0.8571  2 Ce 2.61-2.65, 1 Rh 2.76

***

[10]
Density functional theory data (PBE) for K2Ge4Pd3 after structural relaxation.

Output
total moment: 0.000 μB/atom
calculated formation energy: -0.225 eV per atom
total energy: -4.25 eV per atom

Cell lengths 6.0771, 6.0771, 6.8484 Å; angles 101.39, 101.39, 123.71 degrees
With the nearest neighbours (Å) after each atom.
Atoms (fractional coordinates):
K: 0.6323 0.6323 0.2646  8 Ge 3.27-3.50, 1 K 3.29, 6 Pd 3.31-3.46
K: 0.3677 0.3677 0.7354  8 Ge 3.27-3.50, 1 K 3.29, 6 Pd 3.31-3.46
Ge: 0.0264 0.6572 0.6837  3 Pd 2.53-2.79, 1 Ge 2.68
Ge: 0.6572 0.0264 0.6837  3 Pd 2.53-2.79, 1 Ge 2.68
Ge: 0.9736 0.3428 0.3163  3 Pd 2.53-2.79, 1 Ge 2.68
Ge: 0.3428 0.9736 0.3163  3 Pd 2.53-2.79, 1 Ge 2.68
Pd: 0.5000 0.0000 0.0000  4 Ge 2.53
Pd: 0.0000 0.0000 0.0000  4 Ge 2.79, 4 Pd 3.04
Pd: 0.0000 0.5000 0.0000  4 Ge 2.53

***

[11]
Density functional theory data (PBE) for LaPaAl after structural relaxation.

Output
total moment: 0.231 μB/atom
energy relative to the lowest polymorph listed for this composition: 0.128 eV/atom
calculated formation energy: 0.145 eV per atom
total energy: -5.91 eV per atom

Cell lengths 6.0557, 5.4372, 6.5900 Å; angles 75.18, 62.65, 56.16 degrees
With the nearest neighbours (Å) after each atom.
Atoms (fractional coordinates):
Pa: 0.7500 0.5000 0.5000  2 Pa 3.03, 4 Al 3.14, 4 La 3.36
Pa: 0.2500 0.5000 0.5000  2 Pa 3.03, 4 Al 3.14, 4 La 3.36
La: 0.8223 0.3555 0.0000  3 La 3.21-3.30, 2 Al 3.21, 4 Pa 3.36
La: 0.1777 0.6445 0.0000  3 La 3.21-3.30, 2 Al 3.21, 4 Pa 3.36
Al: 0.6162 0.0000 0.7675  1 Al 2.72
Al: 0.3838 0.0000 0.2325  1 Al 2.72

***

[12]
Density functional theory data (PBE) for ZrScCu after structural relaxation.

Output
total moment: 0.000 μB/atom
energy relative to the lowest polymorph listed for this composition: 1.434 eV/atom
calculated formation energy: 1.282 eV per atom
total energy: -5.04 eV per atom

Cell lengths 4.0780, 4.0780, 10.7021 Å; angles 90.00, 90.00, 120.00 degrees
With the nearest neighbours (Å) after each atom.
Atoms (fractional coordinates):
Sc: 0.0000 0.0000 0.2500  3 Cu 2.35
Sc: 0.0000 0.0000 0.7500  3 Cu 2.35
Cu: 0.3333 0.6667 0.2500  3 Sc 2.35
Cu: 0.6667 0.3333 0.7500  3 Sc 2.35
Zr: 0.0000 0.0000 0.0000  2 Sc 2.68
Zr: 0.0000 0.0000 0.5000  2 Sc 2.68